Nd6Ho2Sc3 | PBE-GGA | relaxed

Output
As for the density of states at the Fermi level: 17.01 states/eV per cell. Its space group is No. 2. The calculation puts the formation energy at 87.2 meV per atom.

Unit cell a=6.0179 b=8.3238 c=8.3787 alpha=105.14 beta=108.42 gamma=108.09
Closest atoms and distances in Å follow each position.
Element x y z (fractional)
Nd: 0.0095 0.4074 0.1765  4 Sc 3.37-3.76, 3 Ho 3.46-3.58, 4 Nd 3.46-3.66
Nd: 0.1480 0.0498 0.8747  3 Nd 3.26-3.50, 3 Sc 3.33-3.42, 1 Ho 3.59
Nd: 0.4267 0.8573 0.2918  4 Nd 3.27-3.54, 4 Sc 3.35-3.62, 2 Ho 3.55-3.59
Nd: 0.5733 0.1427 0.7082  4 Nd 3.27-3.54, 4 Sc 3.35-3.62, 2 Ho 3.55-3.59
Nd: 0.8520 0.9502 0.1253  3 Nd 3.26-3.50, 3 Sc 3.33-3.42, 1 Ho 3.59
Nd: 0.9905 0.5926 0.8235  4 Sc 3.37-3.76, 3 Ho 3.46-3.58, 4 Nd 3.46-3.66
Ho: 0.4601 0.6802 0.6423  4 Sc 3.43-3.72, 7 Nd 3.46-3.78, 1 Ho 3.58
Ho: 0.5399 0.3198 0.3577  4 Sc 3.43-3.72, 7 Nd 3.46-3.78, 1 Ho 3.58
Sc: 0.0648 0.2392 0.5565  6 Nd 3.33-3.62, 2 Sc 3.39-3.60, 3 Ho 3.43-3.72
Sc: 0.5000 0.5000 0.0000  8 Nd 3.35-3.67, 2 Sc 3.39, 2 Ho 3.66
Sc: 0.9352 0.7608 0.4435  6 Nd 3.33-3.62, 2 Sc 3.39-3.60, 3 Ho 3.43-3.72